# Be2Nb2GaRh5

Crystalline Be2Nb2GaRh5 at its relaxed geometry (PBE, the Alexandria database).

The structure in POSCAR format:
```
Be2Nb2GaRh5
1.0
9.533 0.000 0.000
0.000 9.533 0.000
0.000 0.000 2.969
Be Nb Ga Rh
4 4 2 10
Direct
0.124 0.376 0.000
0.376 0.876 0.000
0.624 0.124 0.000
0.876 0.624 0.000
0.177 0.677 0.000
0.323 0.177 0.000
0.677 0.823 0.000
0.823 0.323 0.000
0.000 0.000 0.000
0.500 0.500 0.000
0.000 0.500 0.500
0.065 0.209 0.500
0.209 0.935 0.500
0.291 0.435 0.500
0.435 0.709 0.500
0.500 0.000 0.500
0.565 0.291 0.500
0.709 0.565 0.500
0.791 0.065 0.500
0.935 0.791 0.500
```

Calculated values
The calculation puts the calculated density at 9.70 Mg/m³. The value obtained for the spin magnetization is 0.0 μB per cell. Its energy relative to the elements is -0.6114 eV/atom. The calculation puts the total energy at -7.35 eV per atom. Its density of states at the Fermi level is 3.44 states/eV/f.u.


# Be2Nb2GaRu5

Crystalline Be2Nb2GaRu5 at its relaxed geometry (PBE, the Alexandria database).

The structure in POSCAR format:
```
Be2Nb2GaRu5
1.0
9.286 0.000 0.000
0.000 9.286 0.000
0.000 0.000 3.136
Be Nb Ga Ru
4 4 2 10
Direct
0.124 0.376 0.000
0.376 0.876 0.000
0.624 0.124 0.000
0.876 0.624 0.000
0.174 0.674 0.000
0.326 0.174 0.000
0.674 0.826 0.000
0.826 0.326 0.000
0.000 0.000 0.000
0.500 0.500 0.000
0.000 0.500 0.500
0.073 0.208 0.500
0.208 0.927 0.500
0.292 0.427 0.500
0.427 0.708 0.500
0.500 0.000 0.500
0.573 0.292 0.500
0.708 0.573 0.500
0.792 0.073 0.500
0.927 0.792 0.500
```

Calculated values
The calculation puts the calculated density at 9.57 Mg/m³. The value obtained for the spin magnetization is 0.0 μB per cell. Its energy relative to the elements is -0.3416 eV/atom. The calculation puts the total energy at -8.04 eV per atom. Its density of states at the Fermi level is 9.80 states/eV/f.u.